VASP calculation (PBE-GGA) on an optimized crystal structure of UPOsO.

Its formation energy from raw total energies is -1595 meV per atom. The calculation puts the calculated volume at 120.76 Å³/cell. The calculation puts the density of states at the Fermi level at 14.01 states/eV/cell. As for the crystal system: tetragonal. The value obtained for the total magnetization is 2.8 μB per cell.

It has space group P4/nmm (No. 129, origin choice 2), with a = 3.964 Å, b = 3.964 Å, c = 7.683 Å, α = 90.00°, β = 90.00° and γ = 90.00°. The distinct sites, in fractional coordinates, are U at (0.250, 0.250, 0.160), P at (0.250, 0.250, 0.665), Os at (0.250, 0.750, 0.500) and O at (0.250, 0.750, 0.000).